# Fe3CoO

A geometry-optimized Fe3CoO structure (PBE with a Hubbard U, Alexandria via LeMat-Bulk).

Geometry as POSCAR:
```
Fe3CoO
1.0
4.413 0.000 0.000
0.000 4.413 0.000
0.000 0.000 4.413
Fe Co O
3 1 1
Direct
0.000 0.000 0.500 Fe
0.000 0.500 0.000 Fe
0.500 0.000 0.000 Fe
0.000 0.000 0.000 Co
0.500 0.500 0.500 O
```

Results
DOS(E_F)	0.627	states/eV per atom
mass density	4.7	g/cm³
energy above the lowest structure with this stoichiometry	1230	meV/atom
magnetic moment	2.3741	μB per atom